[1]
# SiRh2Se | the Alexandria database | GGA-PBEsol | relaxed
# Raw total energy: -6.85 eV per atom
# Formation energy from raw total energies: -1.55 eV per formula unit
# E above lowest polymorph: 2 meV per atom
# Crystal system: monoclinic
# M_tot: 0.0 μB per cell
data_SiRh2Se
_chemical_formula_sum 'Si2 Rh4 Se2'
_cell_length_a 6.866
_cell_length_b 2.900
_cell_length_c 6.191
_cell_angle_alpha 90.00
_cell_angle_beta 101.12
_cell_angle_gamma 90.00
_symmetry_space_group_name_H-M 'C 1 2/m 1'
_symmetry_Int_Tables_number 12
_symmetry_space_group_name_Hall '-C 2y'
loop_
_atom_site_label
_atom_site_fract_x
_atom_site_fract_y
_atom_site_fract_z
Si1 0.000 0.000 0.000
Rh1 0.244 0.500 0.201
Se1 0.000 0.500 0.500

=====

[2]
# LiHo2Os | the Alexandria database | GGA-PBEsol | relaxed
# ΔH_f (0 K): -245 meV/atom
# Raw total energy: -6.27 eV per atom
# Crystal system: cubic
# M_tot: 0.0 μB per cell
data_LiHo2Os
_chemical_formula_sum 'Li4 Ho8 Os4'
_cell_length_a 6.792
_cell_length_b 6.792
_cell_length_c 6.792
_cell_angle_alpha 90.00
_cell_angle_beta 90.00
_cell_angle_gamma 90.00
_symmetry_space_group_name_H-M 'F m -3 m'
_symmetry_Int_Tables_number 225
_symmetry_space_group_name_Hall '-F 4 2 3'
loop_
_atom_site_label
_atom_site_fract_x
_atom_site_fract_y
_atom_site_fract_z
Li1 0.000 0.000 0.000
Ho1 0.250 0.250 0.250
Os1 0.000 0.000 0.500

=====

[3]
# Tl2ZnSb | the Alexandria database | GGA-PBEsol | relaxed
# Raw total energy: -2.69 eV per atom
# Formation energy from raw total energies: 0.65 eV per formula unit
# E above lowest polymorph: 74 meV per atom
# Crystal system: orthorhombic
# M_tot: 0.0 μB per cell
data_Tl2ZnSb
_chemical_formula_sum 'Tl4 Zn2 Sb2'
_cell_length_a 3.484
_cell_length_b 5.320
_cell_length_c 10.629
_cell_angle_alpha 90.00
_cell_angle_beta 90.00
_cell_angle_gamma 90.00
_symmetry_space_group_name_H-M 'I m m m'
_symmetry_Int_Tables_number 71
_symmetry_space_group_name_Hall '-I 2 2'
loop_
_atom_site_label
_atom_site_fract_x
_atom_site_fract_y
_atom_site_fract_z
Tl1 0.000 0.000 0.224
Zn1 0.000 0.500 0.500
Sb1 0.000 0.500 0.000

=====

[4]
# NaPr2Cl6 | the Alexandria database | GGA-PBEsol | relaxed
# Raw total energy: -4.73 eV per atom
# Formation energy from raw total energies: -18.79 eV per formula unit
# Crystal system: trigonal
# M_tot: 0.0 μB per cell
data_NaPr2Cl6
_chemical_formula_sum 'Na1 Pr2 Cl6'
_cell_length_a 7.8791
_cell_length_b 7.8791
_cell_length_c 3.8425
_cell_angle_alpha 90.00
_cell_angle_beta 90.00
_cell_angle_gamma 120.00
_symmetry_space_group_name_H-M 'P -3'
_symmetry_Int_Tables_number 147
_symmetry_space_group_name_Hall '-P 3'
loop_
_atom_site_label
_atom_site_fract_x
_atom_site_fract_y
_atom_site_fract_z
Na1 0.0000 0.0000 0.0000
Pr1 0.3333 0.6667 0.2489
Cl1 0.0768 0.3791 0.7493

=====

[5]
# Ba2CrMo | the Alexandria database | GGA-PBEsol | relaxed
# ΔH_f (0 K): 1408 meV/atom
# Raw total energy: -5.17 eV per atom
# Crystal system: tetragonal
# M_tot: 7.7 μB per cell
data_Ba2CrMo
_chemical_formula_sum 'Ba2 Cr1 Mo1'
_cell_length_a 3.802
_cell_length_b 3.802
_cell_length_c 8.668
_cell_angle_alpha 90.00
_cell_angle_beta 90.00
_cell_angle_gamma 90.00
_symmetry_space_group_name_H-M 'P 4/m m m'
_symmetry_Int_Tables_number 123
_symmetry_space_group_name_Hall '-P 4 2'
loop_
_atom_site_label
_atom_site_fract_x
_atom_site_fract_y
_atom_site_fract_z
Ba1 0.000 0.000 0.237
Cr1 0.500 0.500 0.500
Mo1 0.500 0.500 0.000

=====

[6]
# CuH4I2O8 | the Alexandria database | GGA-PBEsol | relaxed
# Raw total energy: -4.86 eV per atom
# Crystal system: monoclinic
# M_tot: 1.9 μB per cell
data_CuH4I2O8
_chemical_formula_sum 'Cu2 H8 I4 O16'
_cell_length_a 6.511
_cell_length_b 4.699
_cell_length_c 11.211
_cell_angle_alpha 90.00
_cell_angle_beta 103.84
_cell_angle_gamma 90.00
_symmetry_space_group_name_H-M 'P 1 21/c 1'
_symmetry_Int_Tables_number 14
_symmetry_space_group_name_Hall '-P 2ybc'
loop_
_atom_site_label
_atom_site_fract_x
_atom_site_fract_y
_atom_site_fract_z
Cu1 0.000 0.000 0.000
H1 0.181 0.091 0.421
H2 0.347 0.241 0.541
I1 0.261 0.627 0.265
O1 0.073 0.667 0.833
O2 0.215 0.711 0.613
O3 0.229 0.220 0.963
O4 0.494 0.658 0.839

=====

> The highest M_tot belongs to which entry?

Ba2CrMo